# 1
This record from Alexandria via LeMat-Bulk describes a geometry-optimized Pa2Ga4Cu5 structure. The functional is GGA-PBE.

Lattice parameters (Å, degrees): 8.538 7.777 5.355 78.75 63.29 37.96
Positions (direct):
Pa  0.150  0.150  0.850
Pa  0.850  0.850  0.150
Ga  0.221  0.507  0.493
Ga  0.493  0.779  0.221
Ga  0.507  0.221  0.779
Ga  0.779  0.493  0.507
Cu  0.000  0.000  0.500
Cu  0.250  0.250  0.250
Cu  0.500  0.500  0.000
Cu  0.500  0.500  0.500
Cu  0.750  0.750  0.750

Output
The energy of formation is -0.092 eV/atom.


# 2
This record from Alexandria via LeMat-Bulk describes a geometry-optimized Pa3Ga7Cu2 structure. The functional is GGA-PBE.

Lattice parameters (Å, degrees): 13.397 13.397 4.110 90.00 90.00 162.01
Positions (direct):
Pa  0.000  0.000  0.000
Pa  0.178  0.822  0.000
Pa  0.822  0.178  0.000
Ga  0.086  0.914  0.500
Ga  0.273  0.727  0.500
Ga  0.414  0.586  0.000
Ga  0.500  0.500  0.500
Ga  0.586  0.414  0.000
Ga  0.727  0.273  0.500
Ga  0.914  0.086  0.500
Cu  0.361  0.639  0.500
Cu  0.639  0.361  0.500

Output
The energy of formation is -0.292 eV/atom.